<w>
An optimized crystal structure of GeCl, computed with PBE.

The structure in POSCAR format:
```
GeCl
1.0
0.0000 2.9215 2.9215
2.9215 0.0000 2.9215
2.9215 2.9215 0.0000
Ge Cl
1 1
direct
0.0000 0.0000 0.0000
0.5000 0.5000 0.5000
```

Values from the calculation:
Fermi-level density of states in states/eV per atom: 0.78


<x>
An optimized crystal structure of GeCl, computed with PBE.

The structure in POSCAR format:
```
GeCl
1.0
0.0000 5.2044 6.5215
2.9515 0.0000 6.5215
2.9515 5.2044 0.0000
Ge Cl
4 4
direct
0.0065 0.0065 0.2435
0.2435 0.2435 0.0065
0.7565 0.7565 0.9935
0.9935 0.9935 0.7565
0.2179 0.5321 0.2179
0.4679 0.7821 0.4679
0.5321 0.2179 0.5321
0.7821 0.4679 0.7821
```

Values from the calculation:
Fermi-level density of states in states/eV per atom: 0.27


<y>
An optimized crystal structure of GeCl, computed with PBE.

The structure in POSCAR format:
```
GeCl
1.0
9.5384 0.0000 0.0000
0.0000 9.5384 0.0000
0.0000 0.0000 3.1682
Ge Cl
4 4
direct
0.1353 0.1353 0.0000
0.3647 0.6353 0.5000
0.6353 0.3647 0.5000
0.8647 0.8647 0.0000
0.1227 0.8773 0.0000
0.3773 0.3773 0.5000
0.6227 0.6227 0.5000
0.8773 0.1227 0.0000
```

Values from the calculation:
Fermi-level density of states in states/eV per atom: 0.46


<z>
An optimized crystal structure of GeCl, computed with PBE.

The structure in POSCAR format:
```
GeCl
1.0
4.2277 0.0000 0.0000
0.0000 7.9888 0.0000
0.0000 0.0000 14.2821
Ge Cl
8 8
direct
0.0813 0.0410 0.4561
0.0807 0.6547 0.4835
0.4193 0.3453 0.9835
0.4187 0.9590 0.9561
0.5813 0.4590 0.5439
0.5807 0.8453 0.5165
0.9193 0.1547 0.0165
0.9187 0.5410 0.0439
0.0780 0.1806 0.5977
0.0792 0.6955 0.3290
0.4208 0.3045 0.8290
0.4220 0.8194 0.0977
0.5780 0.3194 0.4023
0.5792 0.8045 0.6710
0.9208 0.1955 0.1710
0.9220 0.6806 0.9023
```

Values from the calculation:
Fermi-level density of states in states/eV per atom: 0.08


Which structure is most stable, and how do the rest compare? From most to least stable: <z>, <x>, <y>, <w>.


<w>
An optimized crystal structure of GeCl, computed with PBE.

The structure in POSCAR format:
```
GeCl
1.0
8.3689 0.0000 0.0000
-4.1844 7.2477 0.0000
0.0000 0.0000 6.2519
Ge Cl
6 6
direct
0.0214 0.8130 0.2500
0.1870 0.2083 0.2500
0.2083 0.0214 0.7500
0.7917 0.9786 0.2500
0.8130 0.7917 0.7500
0.9786 0.1870 0.7500
0.0203 0.3718 0.2500
0.3515 0.9797 0.2500
0.3718 0.3515 0.7500
0.6282 0.6485 0.2500
0.6485 0.0203 0.7500
0.9797 0.6282 0.7500
```

Values from the calculation:
Fermi-level density of states in states/eV per atom: 0.02


<x>
An optimized crystal structure of GeCl, computed with PBE.

The structure in POSCAR format:
```
GeCl
1.0
-4.3772 4.3772 4.3772
4.3772 -4.3772 4.3772
4.3772 4.3772 -4.3772
Ge Cl
4 4
direct
0.0000 0.0000 0.2288
0.0000 0.2288 0.0000
0.2288 0.0000 0.0000
0.7712 0.7712 0.7712
0.0000 0.0000 0.6189
0.0000 0.6189 0.0000
0.3811 0.3811 0.3811
0.6189 0.0000 0.0000
```

Values from the calculation:
Fermi-level density of states in states/eV per atom: 0.58


<y>
An optimized crystal structure of GeCl, computed with PBE.

The structure in POSCAR format:
```
GeCl
1.0
4.2170 0.0000 0.0000
2.1072 3.6534 0.0000
2.0917 -1.1766 8.2637
Ge Cl
2 2
direct
0.0000 0.0000 0.0000
0.2795 0.3599 0.0820
0.1088 0.4433 0.3461
0.1758 0.9135 0.7359
```

Values from the calculation:
Fermi-level density of states in states/eV per atom: 0.15


<z>
An optimized crystal structure of GeCl, computed with PBE.

The structure in POSCAR format:
```
GeCl
1.0
5.3439 0.0000 0.0000
0.0000 4.2905 0.0000
-1.2354 0.0000 5.3026
Ge Cl
2 2
direct
0.1288 0.2500 0.0423
0.8712 0.7500 0.9577
0.3204 0.2500 0.7148
0.6796 0.7500 0.2852
```

Values from the calculation:
Fermi-level density of states in states/eV per atom: 0.25


Which structure is most stable, and how do the rest compare? From most to least stable: <y>, <z>, <w>, <x>.


<w>
An optimized crystal structure of GeCl, computed with PBE.

The structure in POSCAR format:
```
GeCl
1.0
12.8472 0.0000 0.0000
0.0000 12.8472 0.0000
0.0000 0.0000 3.3751
Ge Cl
8 8
direct
0.0179 0.1354 0.0000
0.1354 0.9821 0.0000
0.2569 0.5289 0.5000
0.4711 0.2569 0.5000
0.5289 0.7431 0.5000
0.7431 0.4711 0.5000
0.8646 0.0179 0.0000
0.9821 0.8646 0.0000
0.1369 0.5955 0.0000
0.2010 0.3653 0.5000
0.3653 0.7990 0.5000
0.4045 0.1369 0.0000
0.5955 0.8631 0.0000
0.6347 0.2010 0.5000
0.7990 0.6347 0.5000
0.8631 0.4045 0.0000
```

Values from the calculation:
Fermi-level density of states in states/eV per atom: 0.41


<x>
An optimized crystal structure of GeCl, computed with PBE.

The structure in POSCAR format:
```
GeCl
1.0
4.9007 0.0000 0.0000
-2.4503 4.2441 0.0000
0.0000 0.0000 5.8136
Ge Cl
2 2
direct
0.3333 0.6667 0.2500
0.6667 0.3333 0.7500
0.3333 0.6667 0.7500
0.6667 0.3333 0.2500
```

Values from the calculation:
Fermi-level density of states in states/eV per atom: 0.90


<y>
An optimized crystal structure of GeCl, computed with PBE.

The structure in POSCAR format:
```
GeCl
1.0
4.3010 0.0000 0.0000
-2.1368 5.1485 0.0000
-0.0452 -1.3748 5.8220
Ge Cl
2 2
direct
0.1820 0.3638 0.4571
0.8180 0.6362 0.5429
0.1048 0.2024 0.7822
0.8952 0.7976 0.2178
```

Values from the calculation:
Fermi-level density of states in states/eV per atom: 0.08


<z>
An optimized crystal structure of GeCl, computed with PBE.

The structure in POSCAR format:
```
GeCl
1.0
7.9535 0.0000 0.0000
0.0000 7.9535 0.0000
0.0000 0.0000 7.9535
Ge Cl
6 6
direct
0.0000 0.2500 0.5000
0.0000 0.7500 0.5000
0.2500 0.5000 0.0000
0.5000 0.0000 0.2500
0.5000 0.0000 0.7500
0.7500 0.5000 0.0000
0.0000 0.5000 0.2500
0.0000 0.5000 0.7500
0.2500 0.0000 0.5000
0.5000 0.2500 0.0000
0.5000 0.7500 0.0000
0.7500 0.0000 0.5000
```

Values from the calculation:
Fermi-level density of states in states/eV per atom: 0.69


Which structure is most stable, and how do the rest compare? From most to least stable: <y>, <w>, <x>, <z>.